(1)
Computed, not measured: a relaxed structure of AlReAu2 at the PBE level of DFT.

Cell lengths 4.3219, 2.8496, 5.4915 Å; angles 74.66, 90.00, 90.00 degrees
With the nearest neighbours (Å) after each atom.
Atoms (fractional coordinates):
Re: 0.5000 0.2500 0.2500  2 Al 2.74, 2 Re 2.85, 8 Au 2.91-2.94
Au: 0.0000 0.8908 0.9928  2 Al 2.63, 4 Au 2.72-2.90, 4 Re 2.91-2.94
Au: 0.0000 0.6092 0.5072  2 Al 2.63, 4 Au 2.72-2.90, 4 Re 2.91-2.94
Al: 0.5000 0.7500 0.7500  4 Au 2.63, 2 Re 2.74, 2 Al 2.85

Summary:
For the magnetic moment, the calculation gives 0.0 Bohr magnetons per cell. The calculation puts the total energy at -5.43 eV/atom. The value obtained for the density of states at the Fermi level is 3.51 states/eV/cell. The formation energy comes out at 254 meV/atom.

(2)
Computed, not measured: a relaxed structure of AlRe2Au at the PBE level of DFT.

Cell lengths 5.0603, 5.0603, 5.0603 Å; angles 135.76, 135.76, 64.34 degrees
With the nearest neighbours (Å) after each atom.
Atoms (fractional coordinates):
Re: 0.0000 0.0000 0.0000  4 Re 2.69, 4 Au 2.87, 4 Al 2.87
Re: 0.5000 0.5000 0.0000  4 Re 2.69, 4 Al 2.87, 4 Au 2.87
Au: 0.7500 0.2500 0.5000  4 Al 2.69, 8 Re 2.87
Al: 0.2500 0.7500 0.5000  4 Au 2.69, 8 Re 2.87

Summary:
For the magnetic moment, the calculation gives 0.0 Bohr magnetons per cell. The calculation puts the total energy at -7.62 eV/atom. The value obtained for the density of states at the Fermi level is 6.74 states/eV/cell. The formation energy comes out at 358 meV/atom.

(3)
Computed, not measured: a relaxed structure of Al2ReAu at the PBE level of DFT.

Cell lengths 8.9338, 8.9338, 8.9338 Å; angles 18.63, 18.63, 18.63 degrees
With the nearest neighbours (Å) after each atom.
Atoms (fractional coordinates):
Re: 0.7460 0.7460 0.7460  3 Al 2.64, 6 Re 2.89, 3 Au 2.90
Au: 0.5028 0.5028 0.5028  3 Al 2.69, 6 Au 2.89, 3 Re 2.90
Al: 0.0015 0.0015 0.0015  3 Re 2.64, 9 Al 2.80-2.89
Al: 0.2497 0.2497 0.2497  3 Au 2.69, 9 Al 2.80-2.89

Summary:
For the magnetic moment, the calculation gives 0.0 Bohr magnetons per cell. The calculation puts the total energy at -5.75 eV/atom. The value obtained for the density of states at the Fermi level is 2.96 states/eV/cell. The formation energy comes out at 50 meV/atom.

(4)
Computed, not measured: a relaxed structure of AlReAu2 at the PBE level of DFT.

Cell lengths 5.5272, 5.5272, 5.5272 Å; angles 150.27, 127.87, 61.17 degrees
With the nearest neighbours (Å) after each atom.
Atoms (fractional coordinates):
Re: 0.4825 0.4825 0.0000  2 Al 2.62, 6 Au 2.83-2.90, 2 Re 2.84
Au: 0.0181 0.0181 0.0000  2 Al 2.64, 4 Re 2.83, 4 Au 2.84-2.94
Au: 0.7478 0.2478 0.5000  4 Al 2.81, 4 Au 2.84-2.94, 2 Re 2.90
Al: 0.2516 0.7516 0.5000  2 Re 2.62, 6 Au 2.64-2.81, 2 Al 2.84

Summary:
For the magnetic moment, the calculation gives 0.0 Bohr magnetons per cell. The calculation puts the total energy at -5.49 eV/atom. The value obtained for the density of states at the Fermi level is 2.42 states/eV/cell. The formation energy comes out at 199 meV/atom.

(5)
Computed, not measured: a relaxed structure of AlRe2Au at the PBE level of DFT.

Cell lengths 4.2519, 2.7510, 5.7307 Å; angles 68.85, 90.00, 90.00 degrees
With the nearest neighbours (Å) after each atom.
Atoms (fractional coordinates):
Re: 0.0000 0.0482 0.0271  3 Re 2.49-2.75, 2 Al 2.64
Re: 0.0000 0.4518 0.4729  3 Re 2.49-2.75, 2 Al 2.64
Au: 0.5000 0.7500 0.7500  2 Al 2.69, 2 Au 2.75, 8 Re 2.93-2.94
Al: 0.5000 0.2500 0.2500  4 Re 2.64, 2 Au 2.69, 2 Al 2.75

Summary:
For the magnetic moment, the calculation gives 0.0 Bohr magnetons per cell. The calculation puts the total energy at -7.70 eV/atom. The value obtained for the density of states at the Fermi level is 3.13 states/eV/cell. The formation energy comes out at 276 meV/atom.

(6)
Computed, not measured: a relaxed structure of Al2ReAu at the PBE level of DFT.

Cell lengths 5.0649, 5.0649, 4.5543 Å; angles 72.91, 72.91, 33.61 degrees
With the nearest neighbours (Å) after each atom.
Atoms (fractional coordinates):
Re: 0.2563 0.2563 0.1759  7 Al 2.67-2.74, 2 Re 2.93, 2 Au 2.98
Au: 0.4973 0.4973 0.5665  7 Al 2.66-2.73, 2 Au 2.93, 2 Re 2.98
Al: 0.9974 0.9974 0.0691  3 Re 2.67-2.70, 4 Au 2.70-2.72, 4 Al 2.92-2.93
Al: 0.7489 0.7489 0.6885  3 Au 2.66-2.73, 4 Re 2.68-2.74, 4 Al 2.92-2.93

Summary:
For the magnetic moment, the calculation gives 0.0 Bohr magnetons per cell. The calculation puts the total energy at -5.97 eV/atom. The value obtained for the density of states at the Fermi level is 2.46 states/eV/cell. The formation energy comes out at -165 meV/atom.

(7)
Computed, not measured: a relaxed structure of AlReAu2 at the PBE level of DFT.

Cell lengths 9.2168, 9.2168, 9.2168 Å; angles 17.99, 17.99, 17.99 degrees
With the nearest neighbours (Å) after each atom.
Atoms (fractional coordinates):
Re: 0.4950 0.4950 0.4950  3 Al 2.67, 3 Au 2.85, 6 Re 2.88
Au: 0.0067 0.0067 0.0067  3 Al 2.70, 6 Au 2.88
Au: 0.2468 0.2468 0.2468  3 Re 2.85, 9 Au 2.88-3.03
Al: 0.7515 0.7515 0.7515  3 Re 2.67, 3 Au 2.70, 6 Al 2.88

Summary:
For the magnetic moment, the calculation gives 0.0 Bohr magnetons per cell. The calculation puts the total energy at -5.64 eV/atom. The value obtained for the density of states at the Fermi level is 0.98 states/eV/cell. The formation energy comes out at 50 meV/atom.

(8)
Computed, not measured: a relaxed structure of AlRe2Au at the PBE level of DFT.

Cell lengths 5.2911, 5.2911, 2.7329 Å; angles 79.86, 79.86, 119.29 degrees
With the nearest neighbours (Å) after each atom.
Atoms (fractional coordinates):
Re: 0.0000 0.0000 0.0000  4 Re 2.67-2.73, 2 Au 2.76, 2 Al 2.76
Re: 0.5000 0.5000 0.0000  4 Re 2.67-2.73, 2 Al 2.76, 2 Au 2.76
Au: 0.0000 0.5000 0.5000  2 Al 2.67, 2 Au 2.73, 4 Re 2.76
Al: 0.5000 0.0000 0.5000  2 Au 2.67, 2 Al 2.73, 4 Re 2.76

Summary:
For the magnetic moment, the calculation gives 0.0 Bohr magnetons per cell. The calculation puts the total energy at -7.67 eV/atom. The value obtained for the density of states at the Fermi level is 2.46 states/eV/cell. The formation energy comes out at 305 meV/atom.

(9)
Computed, not measured: a relaxed structure of AlRe2Au at the PBE level of DFT.

Cell lengths 3.1149, 4.3342, 4.6066 Å; angles 90.00, 90.00, 90.00 degrees
With the nearest neighbours (Å) after each atom.
Atoms (fractional coordinates):
Re: 0.0000 0.0000 0.0000  4 Re 2.67, 4 Al 2.78
Re: 0.5000 0.5000 0.0000  4 Re 2.67, 4 Au 2.78
Au: 0.0000 0.5000 0.5000  4 Al 2.67, 4 Re 2.78
Al: 0.5000 0.0000 0.5000  4 Au 2.67, 4 Re 2.78

Summary:
For the magnetic moment, the calculation gives 0.0 Bohr magnetons per cell. The calculation puts the total energy at -7.76 eV/atom. The value obtained for the density of states at the Fermi level is 2.58 states/eV/cell. The formation energy comes out at 221 meV/atom.

(10)
Computed, not measured: a relaxed structure of AlRe2Au at the PBE level of DFT.

Cell lengths 2.8910, 3.8055, 5.7049 Å; angles 90.00, 90.00, 90.00 degrees
With the nearest neighbours (Å) after each atom.
Atoms (fractional coordinates):
Re: 0.0000 0.0000 0.0362  6 Re 2.63-2.89, 1 Al 2.69
Re: 0.5000 0.5000 0.2287  6 Re 2.63-2.89, 2 Au 2.85, 4 Al 2.87
Au: 0.5000 0.5000 0.7282  4 Al 2.70, 6 Re 2.85-2.97, 2 Au 2.89
Al: 0.0000 0.0000 0.5069  5 Re 2.69-2.87, 4 Au 2.70, 2 Al 2.89

Summary:
For the magnetic moment, the calculation gives 0.0 Bohr magnetons per cell. The calculation puts the total energy at -7.92 eV/atom. The value obtained for the density of states at the Fermi level is 2.58 states/eV/cell. The formation energy comes out at 60 meV/atom.